Run w
Entry from Alexandria via LeMat-Bulk: a relaxed structure of CuTcPb2 (GGA-PBE).

Output
As for the density of states at the Fermi level: 3.06 states/eV/f.u. The calculation puts the density at 11620 kg/m³. Its space group is C2/m (12).

Unit cell a=4.7495 b=4.7495 c=5.5768 alpha=102.06 beta=102.06 gamma=42.17
Last column: nearest neighbours and their distance in Å.
Element x y z (fractional)
Cu 0.0000 0.0000 0.0000  6 Pb 2.87-2.92
Tc 0.5000 0.5000 0.5000  6 Pb 2.87
Pb 0.2470 0.2470 0.7439  3 Tc 2.87, 3 Cu 2.87-2.92
Pb 0.7530 0.7530 0.2561  3 Tc 2.87, 3 Cu 2.87-2.92

=====

Run x
Entry from Alexandria via LeMat-Bulk: a relaxed structure of CuTcPb2 (GGA-PBE).

Output
As for the density of states at the Fermi level: 2.66 states/eV/f.u. The calculation puts the density at 11413 kg/m³. Its space group is Pmmm (47).

Unit cell a=3.4470 b=4.3827 c=5.5468 alpha=90.00 beta=90.00 gamma=90.00
Last column: nearest neighbours and their distance in Å.
Element x y z (fractional)
Cu 0.0000 0.0000 0.0000  4 Pb 2.79
Tc 0.5000 0.0000 0.5000  4 Pb 2.79
Pb 0.0000 0.5000 0.5000  4 Tc 2.79
Pb 0.5000 0.5000 0.0000  4 Cu 2.79

=====

Run y
Entry from Alexandria via LeMat-Bulk: a relaxed structure of CuTcPb2 (GGA-PBE).

Output
As for the density of states at the Fermi level: 1.86 states/eV/f.u. The calculation puts the density at 12053 kg/m³. Its space group is I4/mmm (139).

Unit cell a=5.0751 b=5.0751 c=5.0751 alpha=127.74 beta=127.74 gamma=77.05
Last column: nearest neighbours and their distance in Å.
Element x y z (fractional)
Cu 0.0000 0.0000 0.0000  8 Pb 2.99, 4 Tc 3.16
Tc 0.5000 0.5000 0.0000  8 Pb 2.99, 4 Cu 3.16
Pb 0.2500 0.7500 0.5000  4 Tc 2.99, 4 Cu 2.99, 4 Pb 3.16
Pb 0.7500 0.2500 0.5000  4 Tc 2.99, 4 Cu 2.99, 4 Pb 3.16

=====

Run z
Entry from Alexandria via LeMat-Bulk: a relaxed structure of CuTcPb2 (GGA-PBE).

Output
As for the density of states at the Fermi level: 2.54 states/eV/f.u. The calculation puts the density at 10705 kg/m³. Its space group is P4mm (99).

Unit cell a=3.2127 b=3.2127 c=8.6560 alpha=90.00 beta=90.00 gamma=90.00
Last column: nearest neighbours and their distance in Å.
Element x y z (fractional)
Cu 0.0000 0.0000 0.0000  4 Tc 2.60
Tc 0.5000 0.5000 0.8544  4 Cu 2.60
Pb 0.0000 0.0000 0.6213  4 Tc 3.04, 4 Pb 3.21, 1 Cu 3.28
Pb 0.5000 0.5000 0.2121  4 Cu 2.92, 1 Tc 3.10, 4 Pb 3.21

=====

What should be chosen as the least stable of them? Choose run x.

=====

Run w
Entry from Alexandria via LeMat-Bulk: a relaxed structure of CuTcPb2 (GGA-PBE).

Output
As for the density of states at the Fermi level: 1.40 states/eV/f.u. The calculation puts the density at 10786 kg/m³. Its space group is I-42d (122).

Unit cell a=6.1837 b=6.1837 c=6.1837 alpha=104.48 beta=104.48 gamma=120.00
Last column: nearest neighbours and their distance in Å.
Element x y z (fractional)
Cu 0.0000 0.0000 0.0000  4 Pb 2.69
Cu 0.7500 0.2500 0.5000  4 Pb 2.69
Tc 0.2500 0.7500 0.5000  4 Pb 2.89, 2 Cu 3.09
Tc 0.5000 0.5000 0.0000  4 Pb 2.89, 2 Cu 3.09
Pb 0.1055 0.6250 0.9805  2 Cu 2.69, 2 Tc 2.89
Pb 0.3750 0.3555 0.4805  2 Cu 2.69, 2 Tc 2.89
Pb 0.6445 0.1250 0.0195  2 Cu 2.69, 2 Tc 2.89
Pb 0.8750 0.8945 0.5195  2 Cu 2.69, 2 Tc 2.89

=====

Run x
Entry from Alexandria via LeMat-Bulk: a relaxed structure of CuTcPb2 (GGA-PBE).

Output
As for the density of states at the Fermi level: 3.27 states/eV/f.u. The calculation puts the density at 11647 kg/m³. Its space group is R-3m (166).

Unit cell a=8.8176 b=8.8176 c=8.8176 alpha=21.70 beta=21.70 gamma=21.70
Last column: nearest neighbours and their distance in Å.
Element x y z (fractional)
Cu 0.0000 0.0000 0.0000  6 Pb 2.89
Tc 0.5000 0.5000 0.5000  6 Pb 2.87
Pb 0.2495 0.2495 0.2495  3 Tc 2.87, 3 Cu 2.89
Pb 0.7505 0.7505 0.7505  3 Tc 2.87, 3 Cu 2.89

=====

Run y
Entry from Alexandria via LeMat-Bulk: a relaxed structure of CuTcPb2 (GGA-PBE).

Output
As for the density of states at the Fermi level: 1.77 states/eV/f.u. The calculation puts the density at 11834 kg/m³. Its space group is P4mm (99).

Unit cell a=3.7277 b=3.7277 c=5.8158 alpha=90.00 beta=90.00 gamma=90.00
Last column: nearest neighbours and their distance in Å.
Element x y z (fractional)
Cu 0.0000 0.0000 0.0000  5 Pb 2.70-2.88
Tc 0.5000 0.5000 0.7293  5 Pb 2.73-2.87
Pb 0.0000 0.0000 0.5362  1 Cu 2.70, 4 Tc 2.87
Pb 0.5000 0.5000 0.1979  1 Tc 2.73, 4 Cu 2.88

=====

Run z
Entry from Alexandria via LeMat-Bulk: a relaxed structure of CuTcPb2 (GGA-PBE).

Output
As for the density of states at the Fermi level: 2.59 states/eV/f.u. The calculation puts the density at 12134 kg/m³. Its space group is P4/mmm (123).

Unit cell a=3.5313 b=3.5313 c=6.3205 alpha=90.00 beta=90.00 gamma=90.00
Last column: nearest neighbours and their distance in Å.
Element x y z (fractional)
Cu 0.0000 0.0000 0.0000  8 Pb 2.96, 2 Tc 3.16
Tc 0.0000 0.0000 0.5000  8 Pb 2.95, 2 Cu 3.16
Pb 0.5000 0.5000 0.2507  4 Tc 2.95, 4 Cu 2.96, 2 Pb 3.15-3.17
Pb 0.5000 0.5000 0.7493  4 Tc 2.95, 4 Cu 2.96, 2 Pb 3.15-3.17

=====

What should be chosen as the least stable of them? Choose run w.